{"formula": "Ta2CrMo", "functional": "PBE-GGA", "state": "relaxed", "dos_ef_per_ev_fu": 3.5, "crystal_system": "orthorhombic", "magnetic_moment_mub_per_cell": 0.00, "vol_a3_per_atom": 15.92, "formation_energy_mev_per_atom": -102, "lattice_angstrom": [[-0.7351, -0.0823, -3.0844], [-0.9948, -4.3834, 0.3540], [-8.4353, 2.0722, 1.9551]], "species": ["Ta", "Ta", "Ta", "Ta", "Mo", "Mo", "Cr", "Cr"], "frac_coords": [[0.0000, 0.7500, 0.8828], [0.0000, 0.2500, 0.6320], [0.0000, 0.7500, 0.3680], [0.0000, 0.2500, 0.1172], [0.5000, 0.7500, 0.6291], [0.5000, 0.2500, 0.3709], [0.5000, 0.2500, 0.8793], [0.5000, 0.7500, 0.1207]]}